No. 1
# Pr2YPu PBE relaxed
# E_tot	-7.431	eV per atom
# energy of formation	157.6	meV/atom
data_Pr2YPu
_cell_length_a 5.115
_cell_length_b 5.115
_cell_length_c 5.036
_cell_angle_alpha 90.00
_cell_angle_beta 90.00
_cell_angle_gamma 90.00
_space_group_name_H-M_alt 'P 4/m m m'
_space_group_IT_number 123
_space_group_name_Hall '-P 4 2'
loop_
_atom_site_label
_atom_site_fract_x
_atom_site_fract_y
_atom_site_fract_z
Pr1 0.000 0.500 0.000
Y1 0.000 0.000 0.500
Pu1 0.500 0.500 0.500



No. 2
# Mg3TiGa PBE relaxed
# E_tot	-2.169	eV per atom
# energy of formation	972.0	meV/atom
data_Mg3TiGa
_cell_length_a 5.426
_cell_length_b 5.426
_cell_length_c 5.426
_cell_angle_alpha 90.00
_cell_angle_beta 90.00
_cell_angle_gamma 90.00
_space_group_name_H-M_alt 'P m -3 m'
_space_group_IT_number 221
_space_group_name_Hall '-P 4 2 3'
loop_
_atom_site_label
_atom_site_fract_x
_atom_site_fract_y
_atom_site_fract_z
Mg1 0.000 0.000 0.500
Ti1 0.000 0.000 0.000
Ga1 0.500 0.500 0.500



No. 3
# NaHo2Sn9 PBE relaxed
# E_tot	-4.191	eV per atom
# energy of formation	-316.1	meV/atom
data_NaHo2Sn9
_cell_length_a 4.686
_cell_length_b 4.686
_cell_length_c 14.318
_cell_angle_alpha 90.00
_cell_angle_beta 90.00
_cell_angle_gamma 90.00
_space_group_name_H-M_alt 'P 4/m m m'
_space_group_IT_number 123
_space_group_name_Hall '-P 4 2'
loop_
_atom_site_label
_atom_site_fract_x
_atom_site_fract_y
_atom_site_fract_z
Na1 0.000 0.000 0.000
Ho1 0.000 0.000 0.338
Sn1 0.000 0.500 0.167
Sn2 0.000 0.500 0.500
Sn3 0.500 0.500 0.000
Sn4 0.500 0.500 0.332



No. 4
# Np2ZnCo5B2 PBE relaxed
# E_tot	-7.761	eV per atom
# energy of formation	-157.2	meV/atom
data_Np2ZnCo5B2
_cell_length_a 9.095
_cell_length_b 9.095
_cell_length_c 2.977
_cell_angle_alpha 90.00
_cell_angle_beta 90.00
_cell_angle_gamma 90.00
_space_group_name_H-M_alt 'P 4/m b m'
_space_group_IT_number 127
_space_group_name_Hall '-P 4 2ab'
loop_
_atom_site_label
_atom_site_fract_x
_atom_site_fract_y
_atom_site_fract_z
Np1 0.180 0.320 0.000
Zn1 0.000 0.000 0.000
Co1 0.000 0.500 0.500
Co2 0.068 0.769 0.500
B1 0.116 0.616 0.000



No. 5
# VCoCuOs PBE relaxed
# E_tot	-7.823	eV per atom
# energy of formation	64.5	meV/atom
data_VCoCuOs
_cell_length_a 5.865
_cell_length_b 5.865
_cell_length_c 5.865
_cell_angle_alpha 90.00
_cell_angle_beta 90.00
_cell_angle_gamma 90.00
_space_group_name_H-M_alt 'F -4 3 m'
_space_group_IT_number 216
_space_group_name_Hall 'F -4 2 3'
loop_
_atom_site_label
_atom_site_fract_x
_atom_site_fract_y
_atom_site_fract_z
V1 0.000 0.000 0.000
Co1 0.250 0.250 0.750
Cu1 0.000 0.000 0.500
Os1 0.250 0.250 0.250



No. 6
# Ta2SiF PBE relaxed
# E_tot	-8.183	eV per atom
# E_form (uncorrected)	-0.433	eV/atom
data_Ta2SiF
_cell_length_a 6.180
_cell_length_b 6.180
_cell_length_c 6.180
_cell_angle_alpha 90.00
_cell_angle_beta 90.00
_cell_angle_gamma 90.00
_space_group_name_H-M_alt 'F m -3 m'
_space_group_IT_number 225
_space_group_name_Hall '-F 4 2 3'
loop_
_atom_site_label
_atom_site_fract_x
_atom_site_fract_y
_atom_site_fract_z
Ta1 0.250 0.250 0.250
Si1 0.000 0.000 0.000
F1 0.000 0.000 0.500



No. 7
# K3TaCl8 PBE relaxed
# E_tot	-4.122	eV per atom
# E_form (uncorrected)	-1.629	eV/atom
data_K3TaCl8
_cell_length_a 9.5344
_cell_length_b 9.5344
_cell_length_c 9.5132
_cell_angle_alpha 90.00
_cell_angle_beta 90.00
_cell_angle_gamma 120.00
_space_group_name_H-M_alt 'P 63 m c'
_space_group_IT_number 186
_space_group_name_Hall 'P 6c -2c'
loop_
_atom_site_label
_atom_site_fract_x
_atom_site_fract_y
_atom_site_fract_z
K1 0.1541 0.3081 0.0000
Ta1 0.3333 0.6667 0.4716
Cl1 0.0000 0.0000 0.2953
Cl2 0.0986 0.5493 0.3324
Cl3 0.2154 0.4307 0.6189
Cl4 0.3333 0.6667 0.9890



No. 8
# PrYGeRh PBE relaxed
# E_tot	-6.604	eV per atom
# energy of formation	-801.1	meV/atom
data_PrYGeRh
_cell_length_a 4.252
_cell_length_b 4.224
_cell_length_c 10.580
_cell_angle_alpha 90.00
_cell_angle_beta 90.00
_cell_angle_gamma 90.00
_space_group_name_H-M_alt 'A m m 2'
_space_group_IT_number 38
_space_group_name_Hall 'A 2 -2'
loop_
_atom_site_label
_atom_site_fract_x
_atom_site_fract_y
_atom_site_fract_z
Pr1 0.000 0.000 0.000
Y1 0.500 0.000 0.719
Ge1 0.500 0.000 0.424
Rh1 0.000 0.000 0.276



No. 9
# In2SiNi PBE relaxed
# E_tot	-4.180	eV per atom
# E_form (uncorrected)	-0.010	eV/atom
data_In2SiNi
_cell_length_a 4.049
_cell_length_b 3.891
_cell_length_c 5.165
_cell_angle_alpha 90.00
_cell_angle_beta 112.85
_cell_angle_gamma 90.00
_space_group_name_H-M_alt 'P 1 m 1'
_space_group_IT_number 6
_space_group_name_Hall 'P -2y'
loop_
_atom_site_label
_atom_site_fract_x
_atom_site_fract_y
_atom_site_fract_z
In1 0.000 0.000 0.000
In2 0.298 0.500 0.598
Si1 0.586 0.500 0.174
Ni1 0.715 0.000 0.428



No. 10
# ZrPa2Tl PBE relaxed
# E_tot	-7.429	eV per atom
# energy of formation	48.0	meV/atom
data_ZrPa2Tl
_cell_length_a 4.381
_cell_length_b 4.381
_cell_length_c 5.062
_cell_angle_alpha 90.00
_cell_angle_beta 90.00
_cell_angle_gamma 90.00
_space_group_name_H-M_alt 'P 4/m m m'
_space_group_IT_number 123
_space_group_name_Hall '-P 4 2'
loop_
_atom_site_label
_atom_site_fract_x
_atom_site_fract_y
_atom_site_fract_z
Zr1 0.000 0.000 0.000
Pa1 0.000 0.500 0.500
Tl1 0.500 0.500 0.000



No. 11
# In2SbAu PBE relaxed
# E_tot	-3.243	eV per atom
# E_form (uncorrected)	-0.024	eV/atom
data_In2SbAu
_cell_length_a 4.3449
_cell_length_b 4.3449
_cell_length_c 19.7138
_cell_angle_alpha 90.00
_cell_angle_beta 90.00
_cell_angle_gamma 120.00
_space_group_name_H-M_alt 'R 3 m'
_space_group_IT_number 160
_space_group_name_Hall 'R 3 -2"'
loop_
_atom_site_label
_atom_site_fract_x
_atom_site_fract_y
_atom_site_fract_z
In1 0.0000 0.0000 0.0000
In2 0.0000 0.0000 0.1584
Sb1 0.0000 0.0000 0.5748
Au1 0.0000 0.0000 0.4123



No. 12
# LaCdSn3 PBE relaxed
# E_tot	-2.921	eV per atom
# energy of formation	649.2	meV/atom
data_LaCdSn3
_cell_length_a 6.092
_cell_length_b 6.092
_cell_length_c 6.092
_cell_angle_alpha 90.00
_cell_angle_beta 90.00
_cell_angle_gamma 90.00
_space_group_name_H-M_alt 'P m -3 m'
_space_group_IT_number 221
_space_group_name_Hall '-P 4 2 3'
loop_
_atom_site_label
_atom_site_fract_x
_atom_site_fract_y
_atom_site_fract_z
La1 0.000 0.000 0.000
Cd1 0.500 0.500 0.500
Sn1 0.000 0.000 0.500



No. 13
# CuNiPd3 PBE relaxed
# E_tot	-5.013	eV per atom
# energy of formation	78.0	meV/atom
data_CuNiPd3
_cell_length_a 11.542
_cell_length_b 10.518
_cell_length_c 4.887
_cell_angle_alpha 90.00
_cell_angle_beta 106.36
_cell_angle_gamma 90.00
_space_group_name_H-M_alt 'C 1 2/c 1'
_space_group_IT_number 15
_space_group_name_Hall '-C 2yc'
loop_
_atom_site_label
_atom_site_fract_x
_atom_site_fract_y
_atom_site_fract_z
Cu1 0.000 0.094 0.250
Cu2 0.000 0.127 0.750
Ni1 0.094 0.448 0.965
Pd1 0.088 0.313 0.523
Pd2 0.178 0.204 0.134
Pd3 0.207 0.063 0.637



No. 14
# NbV3In PBE relaxed
# E_tot	-6.092	eV per atom
# energy of formation	1940.7	meV/atom
data_NbV3In
_cell_length_a 4.737
_cell_length_b 4.737
_cell_length_c 4.737
_cell_angle_alpha 90.00
_cell_angle_beta 90.00
_cell_angle_gamma 90.00
_space_group_name_H-M_alt 'P m -3 m'
_space_group_IT_number 221
_space_group_name_Hall '-P 4 2 3'
loop_
_atom_site_label
_atom_site_fract_x
_atom_site_fract_y
_atom_site_fract_z
Nb1 0.000 0.000 0.000
V1 0.000 0.500 0.500
In1 0.500 0.500 0.500



No. 15
# Sr2YCo PBE relaxed
# E_tot	-3.488	eV per atom
# energy of formation	745.6	meV/atom
data_Sr2YCo
_cell_length_a 7.883
_cell_length_b 7.883
_cell_length_c 7.883
_cell_angle_alpha 90.00
_cell_angle_beta 90.00
_cell_angle_gamma 90.00
_space_group_name_H-M_alt 'F m -3 m'
_space_group_IT_number 225
_space_group_name_Hall '-F 4 2 3'
loop_
_atom_site_label
_atom_site_fract_x
_atom_site_fract_y
_atom_site_fract_z
Sr1 0.250 0.250 0.250
Y1 0.000 0.000 0.000
Co1 0.000 0.000 0.500



No. 16
# KLiEr2F8 PBE relaxed
# E_tot	-5.959	eV per atom
# E_form (uncorrected)	-3.700	eV/atom
data_KLiEr2F8
_cell_length_a 5.951
_cell_length_b 3.857
_cell_length_c 7.504
_cell_angle_alpha 90.00
_cell_angle_beta 97.43
_cell_angle_gamma 90.00
_space_group_name_H-M_alt 'P 1 2/m 1'
_space_group_IT_number 10
_space_group_name_Hall '-P 2y'
loop_
_atom_site_label
_atom_site_fract_x
_atom_site_fract_y
_atom_site_fract_z
K1 0.000 0.000 0.000
Li1 0.000 0.000 0.500
Er1 0.458 0.500 0.741
F1 0.211 0.000 0.709
F2 0.276 0.500 0.465
F3 0.290 0.500 0.987
F4 0.363 0.000 0.240



No. 17
# Rb3Hg2Se4 PBE relaxed
# E_tot	-2.625	eV per atom
# E_form (uncorrected)	-0.687	eV/atom
data_Rb3Hg2Se4
_cell_length_a 4.682
_cell_length_b 7.853
_cell_length_c 9.350
_cell_angle_alpha 68.40
_cell_angle_beta 75.50
_cell_angle_gamma 89.98
_space_group_name_H-M_alt 'P -1'
_space_group_IT_number 2
_space_group_name_Hall '-P 1'
loop_
_atom_site_label
_atom_site_fract_x
_atom_site_fract_y
_atom_site_fract_z
Rb1 0.000 0.000 0.000
Rb2 0.136 0.554 0.728
Hg1 0.336 0.038 0.327
Se1 0.210 0.172 0.581
Se2 0.482 0.310 0.036



No. 18
# Mn2GaPt PBE relaxed
# E_tot	-7.137	eV per atom
# energy of formation	-285.7	meV/atom
data_Mn2GaPt
_cell_length_a 3.865
_cell_length_b 3.865
_cell_length_c 3.862
_cell_angle_alpha 90.00
_cell_angle_beta 90.00
_cell_angle_gamma 90.00
_space_group_name_H-M_alt 'P 4/m m m'
_space_group_IT_number 123
_space_group_name_Hall '-P 4 2'
loop_
_atom_site_label
_atom_site_fract_x
_atom_site_fract_y
_atom_site_fract_z
Mn1 0.000 0.500 0.000
Ga1 0.000 0.000 0.500
Pt1 0.500 0.500 0.500



No. 19
# SrZn3Rh PBE relaxed
# E_tot	-2.777	eV per atom
# energy of formation	-206.0	meV/atom
data_SrZn3Rh
_cell_length_a 4.233
_cell_length_b 5.639
_cell_length_c 8.663
_cell_angle_alpha 90.00
_cell_angle_beta 104.12
_cell_angle_gamma 90.00
_space_group_name_H-M_alt 'P 1 21/m 1'
_space_group_IT_number 11
_space_group_name_Hall '-P 2yb'
loop_
_atom_site_label
_atom_site_fract_x
_atom_site_fract_y
_atom_site_fract_z
Sr1 0.069 0.250 0.137
Zn1 0.161 0.750 0.321
Zn2 0.299 0.509 0.598
Rh1 0.424 0.250 0.850



No. 20
# Tb3Ho2Ni2 PBE relaxed
# E_tot	-5.193	eV per atom
# energy of formation	-248.4	meV/atom
data_Tb3Ho2Ni2
_cell_length_a 12.100
_cell_length_b 3.617
_cell_length_c 8.933
_cell_angle_alpha 90.00
_cell_angle_beta 116.26
_cell_angle_gamma 90.00
_space_group_name_H-M_alt 'C 1 2/m 1'
_space_group_IT_number 12
_space_group_name_Hall '-C 2y'
loop_
_atom_site_label
_atom_site_fract_x
_atom_site_fract_y
_atom_site_fract_z
Tb1 0.000 0.000 0.000
Tb2 0.115 0.000 0.433
Ho1 0.167 0.500 0.811
Ni1 0.174 0.500 0.237